1.
Density functional theory data (GGA-PBE) for BeHIO2 after structural relaxation.

a b c (Å): 3.237 3.237 7.312
angles (deg): 90.00 90.00 90.00
Element x y z (fractional)
I 0.000 0.000 0.500
Be 0.000 0.000 0.000
O 0.000 0.500 0.000
O 0.500 0.000 0.000
H 0.500 0.500 0.500

Values from the calculation:
ρ ... 3.66 Mg/m³
Volume ... 76.6 Å³ per cell

***

2.
Density functional theory data (GGA-PBE) for BeHIO2 after structural relaxation.

a b c (Å): 4.118 4.118 3.402
angles (deg): 90.00 90.00 90.00
Element x y z (fractional)
I 0.000 0.000 0.500
Be 0.500 0.500 0.500
O 0.000 0.500 0.000
O 0.500 0.000 0.000
H 0.000 0.000 0.000

Values from the calculation:
ρ ... 4.86 Mg/m³
Volume ... 57.7 Å³ per cell

***

It is 1 that is most stable; the runner-up trails by 1203 meV/atom.

***

1.
Density functional theory data (GGA-PBE) for BeSb2HI after structural relaxation.

a b c (Å): 4.854 4.854 5.730
angles (deg): 90.00 90.00 90.00
Element x y z (fractional)
I 0.000 0.000 0.500
Sb 0.000 0.500 0.000
Sb 0.500 0.000 0.000
H 0.500 0.500 0.500
Be 0.000 0.000 0.000

Values from the calculation:
ρ ... 4.68 Mg/m³
Volume ... 135.0 Å³ per cell

***

2.
Density functional theory data (GGA-PBE) for BeSb2HI after structural relaxation.

a b c (Å): 4.197 4.197 7.735
angles (deg): 90.00 90.00 90.00
Element x y z (fractional)
I 0.000 0.000 0.500
Sb 0.000 0.500 0.000
Sb 0.500 0.000 0.000
H 0.000 0.000 0.000
Be 0.500 0.500 0.500

Values from the calculation:
ρ ... 4.64 Mg/m³
Volume ... 136.2 Å³ per cell

***

It is 2 that is most stable; the runner-up trails by 62 meV/atom.

***

1.
Density functional theory data (GGA-PBE) for Be3InH after structural relaxation.

a b c (Å): 3.761 3.761 3.761
angles (deg): 90.00 90.00 90.00
Element x y z (fractional)
Be 0.000 0.500 0.000
Be 0.000 0.000 0.500
Be 0.500 0.000 0.000
H 0.000 0.000 0.000
In 0.500 0.500 0.500

Values from the calculation:
ρ ... 4.46 Mg/m³
Volume ... 53.2 Å³ per cell

***

2.
Density functional theory data (GGA-PBE) for Be3InH after structural relaxation.

a b c (Å): 4.583 4.583 4.583
angles (deg): 90.00 90.00 90.00
Element x y z (fractional)
Be 0.000 0.500 0.000
Be 0.000 0.000 0.500
Be 0.500 0.000 0.000
H 0.500 0.500 0.500
In 0.000 0.000 0.000

Values from the calculation:
ρ ... 2.46 Mg/m³
Volume ... 96.3 Å³ per cell

***

It is 1 that is most stable; the runner-up trails by 881 meV/atom.

***

1.
Density functional theory data (GGA-PBE) for BeIn2H after structural relaxation.

a b c (Å): 4.499 4.499 4.499
angles (deg): 60.00 60.00 60.00
Element x y z (fractional)
Be 0.500 0.500 0.500
H 0.000 0.000 0.000
In 0.250 0.250 0.250
In 0.750 0.750 0.750

Values from the calculation:
ρ ... 6.18 Mg/m³
Volume ... 64.4 Å³ per cell

***

2.
Density functional theory data (GGA-PBE) for BeIn2H after structural relaxation.

a b c (Å): 4.990 4.990 7.073
angles (deg): 69.35 69.35 90.00
Element x y z (fractional)
Be 0.000 0.000 0.000
Be 0.750 0.250 0.500
H 0.500 0.500 0.000
H 0.250 0.750 0.500
In 0.571 0.125 0.250
In 0.179 0.625 0.250
In 0.375 0.429 0.750
In 0.875 0.821 0.750

Values from the calculation:
ρ ... 5.21 Mg/m³
Volume ... 152.6 Å³ per cell

***

It is 2 that is most stable; the runner-up trails by 45 meV/atom.

***

1.
Density functional theory data (GGA-PBE) for Be2InH after structural relaxation.

a b c (Å): 4.105 4.105 4.105
angles (deg): 60.00 60.00 60.00
Element x y z (fractional)
Be 0.250 0.250 0.250
Be 0.750 0.750 0.750
H 0.000 0.000 0.000
In 0.500 0.500 0.500

Values from the calculation:
ρ ... 4.54 Mg/m³
Volume ... 48.9 Å³ per cell

***

2.
Density functional theory data (GGA-PBE) for Be2InH after structural relaxation.

a b c (Å): 4.276 4.276 5.958
angles (deg): 68.97 68.97 90.00
Element x y z (fractional)
Be 0.375 0.125 0.250
Be 0.375 0.625 0.250
Be 0.375 0.625 0.750
Be 0.875 0.625 0.750
H 0.500 0.500 0.000
H 0.250 0.750 0.500
In 0.000 0.000 0.000
In 0.750 0.250 0.500

Values from the calculation:
ρ ... 4.74 Mg/m³
Volume ... 93.9 Å³ per cell

***

It is 2 that is most stable; the runner-up trails by 593 meV/atom.

***

1.
Density functional theory data (GGA-PBE) for Be2H2Ir after structural relaxation.

a b c (Å): 5.932 5.932 2.419
angles (deg): 90.00 90.00 90.00
Element x y z (fractional)
Be 0.368 0.868 0.000
Be 0.868 0.632 0.000
Be 0.632 0.132 0.000
Be 0.132 0.368 0.000
Ir 0.000 0.000 0.000
Ir 0.500 0.500 0.000
H 0.105 0.605 0.500
H 0.605 0.895 0.500
H 0.895 0.395 0.500
H 0.395 0.105 0.500

Values from the calculation:
ρ ... 8.28 Mg/m³
Volume ... 85.1 Å³ per cell

***

2.
Density functional theory data (GGA-PBE) for Be2H2Ir after structural relaxation.

a b c (Å): 2.680 2.680 5.645
angles (deg): 76.27 76.27 90.00
Element x y z (fractional)
Be 0.352 0.352 0.296
Be 0.648 0.648 0.704
Ir 0.000 0.000 0.000
H 0.750 0.250 0.500
H 0.250 0.750 0.500

Values from the calculation:
ρ ... 9.23 Mg/m³
Volume ... 38.2 Å³ per cell

***

It is 2 that is most stable; the runner-up trails by 556 meV/atom.

***

1.
Density functional theory data (GGA-PBE) for BeH2Ir after structural relaxation.

a b c (Å): 3.692 3.692 5.212
angles (deg): 69.26 69.26 90.00
Element x y z (fractional)
Be 0.500 0.500 0.000
Be 0.250 0.750 0.500
Ir 0.000 0.000 0.000
Ir 0.750 0.250 0.500
H 0.606 0.125 0.250
H 0.144 0.625 0.250
H 0.375 0.394 0.750
H 0.875 0.856 0.750

Values from the calculation:
ρ ... 10.98 Mg/m³
Volume ... 61.5 Å³ per cell

***

2.
Density functional theory data (GGA-PBE) for BeH2Ir after structural relaxation.

a b c (Å): 3.456 3.456 3.456
angles (deg): 60.00 60.00 60.00
Element x y z (fractional)
Be 0.000 0.000 0.000
Ir 0.500 0.500 0.500
H 0.250 0.250 0.250
H 0.750 0.750 0.750

Values from the calculation:
ρ ... 11.57 Mg/m³
Volume ... 29.2 Å³ per cell

***

It is 1 that is most stable; the runner-up trails by 281 meV/atom.

***

1.
Density functional theory data (GGA-PBE) for Be2HIr after structural relaxation.

a b c (Å): 5.686 5.686 4.526
angles (deg): 51.08 51.08 90.00
Element x y z (fractional)
Be 0.210 0.125 0.250
Be 0.540 0.625 0.250
Be 0.375 0.790 0.750
Be 0.875 0.460 0.750
Ir 0.000 0.000 0.000
Ir 0.750 0.250 0.500
H 0.500 0.500 0.000
H 0.250 0.750 0.500

Values from the calculation:
ρ ... 10.44 Mg/m³
Volume ... 67.2 Å³ per cell

***

2.
Density functional theory data (GGA-PBE) for Be2HIr after structural relaxation.

a b c (Å): 3.763 3.763 3.763
angles (deg): 60.00 60.00 60.00
Element x y z (fractional)
Be 0.250 0.250 0.250
Be 0.750 0.750 0.750
Ir 0.500 0.500 0.500
H 0.000 0.000 0.000

Values from the calculation:
ρ ... 9.31 Mg/m³
Volume ... 37.7 Å³ per cell

***

It is 1 that is most stable; the runner-up trails by 499 meV/atom.

***

1.
Density functional theory data (GGA-PBE) for KBe2H after structural relaxation.

a b c (Å): 5.557 5.557 5.556
angles (deg): 59.99 59.99 90.00
Element x y z (fractional)
Be 0.375 0.125 0.250
Be 0.375 0.625 0.250
Be 0.375 0.625 0.750
Be 0.875 0.625 0.750
K 0.000 0.000 0.000
K 0.750 0.250 0.500
H 0.500 0.500 0.000
H 0.250 0.750 0.500

Values from the calculation:
ρ ... 1.59 Mg/m³
Volume ... 121.3 Å³ per cell

***

2.
Density functional theory data (GGA-PBE) for KBe2H after structural relaxation.

a b c (Å): 4.840 4.840 4.840
angles (deg): 60.00 60.00 60.00
Element x y z (fractional)
Be 0.250 0.250 0.250
Be 0.750 0.750 0.750
K 0.500 0.500 0.500
H 0.000 0.000 0.000

Values from the calculation:
ρ ... 1.20 Mg/m³
Volume ... 80.2 Å³ per cell

***

It is 1 that is most stable; the runner-up trails by 842 meV/atom.

***

1.
Density functional theory data (GGA-PBE) for KBeH2 after structural relaxation.

a b c (Å): 4.728 4.728 5.825
angles (deg): 66.06 66.06 90.00
Element x y z (fractional)
Be 0.500 0.500 0.000
Be 0.250 0.750 0.500
K 0.000 0.000 0.000
K 0.750 0.250 0.500
H 0.376 0.125 0.250
H 0.374 0.625 0.250
H 0.375 0.624 0.750
H 0.875 0.626 0.750

Values from the calculation:
ρ ... 1.56 Mg/m³
Volume ... 106.6 Å³ per cell

***

2.
Density functional theory data (GGA-PBE) for KBeH2 after structural relaxation.

a b c (Å): 4.261 4.261 4.261
angles (deg): 60.00 60.00 60.00
Element x y z (fractional)
Be 0.000 0.000 0.000
K 0.500 0.500 0.500
H 0.250 0.250 0.250
H 0.750 0.750 0.750

Values from the calculation:
ρ ... 1.52 Mg/m³
Volume ... 54.7 Å³ per cell

***

It is 1 that is most stable; the runner-up trails by 617 meV/atom.

***

1.
Density functional theory data (GGA-PBE) for LaBeH after structural relaxation.

a b c (Å): 3.944 3.664 6.891
angles (deg): 105.25 90.01 90.00
Element x y z (fractional)
La 0.181 0.387 0.228
La 0.681 0.663 0.785
Be 0.680 0.992 0.440
Be 0.181 0.058 0.572
H 0.181 0.172 0.805
H 0.681 0.878 0.207

Values from the calculation:
ρ ... 5.15 Mg/m³
Volume ... 96.1 Å³ per cell

***

2.
Density functional theory data (GGA-PBE) for LaBeH after structural relaxation.

a b c (Å): 3.987 4.098 6.505
angles (deg): 90.00 107.33 90.00
Element x y z (fractional)
La 0.354 0.500 0.996
La 0.647 0.000 0.568
Be 0.998 0.000 0.213
Be 0.047 0.500 0.373
H 0.359 0.000 0.185
H 0.746 0.500 0.778

Values from the calculation:
ρ ... 4.87 Mg/m³
Volume ... 101.5 Å³ per cell

***

3.
Density functional theory data (GGA-PBE) for LaBeH after structural relaxation.

a b c (Å): 4.381 4.262 5.481
angles (deg): 90.00 105.76 90.00
Element x y z (fractional)
La 0.351 0.000 0.182
La 0.629 0.500 0.757
Be 0.979 0.500 0.388
Be 0.024 0.000 0.585
H 0.885 0.000 0.809
H 0.282 0.500 0.316

Values from the calculation:
ρ ... 5.02 Mg/m³
Volume ... 98.5 Å³ per cell

***

4.
Density functional theory data (GGA-PBE) for LaBeH after structural relaxation.

a b c (Å): 4.099 4.096 7.039
angles (deg): 106.98 90.00 120.02
Element x y z (fractional)
Be 0.111 0.221 0.489
Be 0.766 0.531 0.453
H 0.941 0.883 0.981
H 0.686 0.372 0.216
La 0.341 0.682 0.183
La 0.531 0.062 0.749

Values from the calculation:
ρ ... 5.13 Mg/m³
Volume ... 96.3 Å³ per cell

***

It is 4 that is most stable; the runner-up trails by 31 meV/atom.

***

1.
Density functional theory data (GGA-PBE) for LaBeH after structural relaxation.

a b c (Å): 4.409 4.236 5.320
angles (deg): 90.00 104.03 90.00
Element x y z (fractional)
La 0.137 0.250 0.290
La 0.863 0.750 0.710
Be 0.469 0.250 0.894
Be 0.531 0.750 0.106
H 0.603 0.250 0.658
H 0.397 0.750 0.342

Values from the calculation:
ρ ... 5.13 Mg/m³
Volume ... 96.4 Å³ per cell

***

2.
Density functional theory data (GGA-PBE) for LaBeH after structural relaxation.

a b c (Å): 4.366 5.017 8.564
angles (deg): 90.00 90.00 90.00
Element x y z (fractional)
La 0.000 0.000 0.360
La 0.000 0.500 0.860
La 0.500 0.000 0.028
La 0.500 0.500 0.528
Be 0.741 0.000 0.701
Be 0.259 0.000 0.701
Be 0.741 0.500 0.201
Be 0.259 0.500 0.201
H 0.000 0.782 0.623
H 0.000 0.218 0.623
H 0.000 0.282 0.123
H 0.000 0.718 0.123

Values from the calculation:
ρ ... 5.27 Mg/m³
Volume ... 187.6 Å³ per cell

***

3.
Density functional theory data (GGA-PBE) for LaBeH after structural relaxation.

a b c (Å): 4.129 4.110 6.208
angles (deg): 90.00 106.84 90.00
Element x y z (fractional)
La 0.692 0.500 0.993
La 0.390 0.000 0.446
Be 0.107 0.000 0.814
Be 0.003 0.500 0.633
H 0.028 0.500 0.396
H 0.630 0.500 0.604

Values from the calculation:
ρ ... 4.90 Mg/m³
Volume ... 100.8 Å³ per cell

***

It is 1 that is most stable; the runner-up trails by 17 meV/atom.